First-principles (PBE) data for crystalline TiHgS2 at its relaxed geometry, as listed in the Alexandria database.

Lattice parameters (Å, degrees): 6.7671 9.7583 6.3874 90.00 90.00 90.00
With the nearest neighbours (Å) after each atom.
Fractional positions:
S (0.4775, 0.1036, 0.6546)  2 Ti 2.26-2.33
S (0.2588, 0.7731, 0.6158)  2 Ti 2.29
S (0.9775, 0.3964, 0.6546)  2 Ti 2.26-2.33
S (0.5225, 0.8964, 0.1546)  2 Ti 2.26-2.33
S (0.7412, 0.2269, 0.1158)  2 Ti 2.29
S (0.7588, 0.7269, 0.6158)  2 Ti 2.29
S (0.2412, 0.2731, 0.1158)  2 Ti 2.29
S (0.0225, 0.6036, 0.1546)  2 Ti 2.26-2.33
Ti (0.0353, 0.6111, 0.5074)  4 S 2.26-2.33
Ti (0.4647, 0.1111, 0.0074)  4 S 2.26-2.33
Ti (0.5353, 0.8889, 0.5074)  4 S 2.26-2.33
Ti (0.9647, 0.3889, 0.0074)  4 S 2.26-2.33
Hg (0.9474, 0.0379, 0.4720)  1 Ti 3.15, 4 S 3.24-3.46, 2 Hg 3.35
Hg (0.0526, 0.9621, 0.9720)  1 Ti 3.15, 4 S 3.24-3.46, 2 Hg 3.35
Hg (0.4474, 0.4621, 0.4720)  1 Ti 3.15, 4 S 3.24-3.46, 2 Hg 3.35
Hg (0.5526, 0.5379, 0.9720)  1 Ti 3.15, 4 S 3.24-3.46, 2 Hg 3.35

Computed properties:
Crystal system: orthorhombic
Total magnetic moment (μB per atom): 0.00
Formation energy (no corrections) (meV per atom): -727